Os3PdSe | GGA-PBE | relaxed

Results
calculated density	11.3	g cm⁻³
E_form (uncorrected)	2.8013	eV/atom
SG	Pm-3m

Lattice parameters (Å, degrees): 4.8022 4.8022 4.8022 90.00 90.00 90.00
Element x y z (fractional)
Os1 0.0000 0.0000 0.5000
Os2 0.0000 0.5000 0.0000
Os3 0.5000 0.0000 0.0000
Pd1 0.0000 0.0000 0.0000
Se1 0.5000 0.5000 0.5000

=====

Tb3ThCo | GGA-PBE | relaxed

Results
calculated density	8.9	g cm⁻³
DFT formation energy	-0.091	eV/atom
SG	C2/m

Lattice parameters (Å, degrees): 7.1717 7.1717 8.0871 124.01 124.01 71.93
Element x y z (fractional)
Tb1 0.0448 0.0448 0.2569
Tb2 0.0508 0.4578 0.7943
Tb3 0.4578 0.0508 0.7943
Tb4 0.5422 0.9492 0.2057
Tb5 0.9492 0.5422 0.2057
Tb6 0.9552 0.9552 0.7431
Th1 0.4544 0.4544 0.6661
Th2 0.5456 0.5456 0.3339
Co1 0.2622 0.2622 0.1338
Co2 0.7378 0.7378 0.8662